[1]
First-principles (PBE) data for Mn3Si2Se6 after structural relaxation, as listed in the Alexandria database.

Output
Symmetry: No. 163
Size of the total moment in μB/f.u.: 14.99
Uncorrected formation energy in meV per atom: -384

POSCAR file:
```
Mn3Si2Se6
1.0
0.0008 6.4686 -0.8907
-5.5531 -3.3796 -0.6146
-2.5996 1.8408 13.3658
Si Mn Se
4 6 12
Direct
0.0000 0.0000 0.9160 Si
0.0000 0.0000 0.0840 Si
0.0000 0.0000 0.5840 Si
0.0000 0.0000 0.4160 Si
0.3333 0.6667 0.5041 Mn
0.3333 0.6667 0.2500 Mn
0.6667 0.3333 0.0041 Mn
0.6667 0.3333 0.4959 Mn
0.6667 0.3333 0.7500 Mn
0.3333 0.6667 0.9959 Mn
0.3395 0.3455 0.1253 Se
0.6545 0.6605 0.3747 Se
0.3455 0.3395 0.6253 Se
0.6545 0.9941 0.1253 Se
0.0059 0.3455 0.3747 Se
0.3455 0.0059 0.8747 Se
0.6605 0.0059 0.6253 Se
0.6605 0.6545 0.8747 Se
0.9941 0.3395 0.8747 Se
0.0059 0.6605 0.1253 Se
0.9941 0.6545 0.6253 Se
0.3395 0.9941 0.3747 Se
```



[2]
First-principles (PBE) data for PrPtAu after structural relaxation, as listed in the Alexandria database.

Output
Excess energy over the best structure of this formula in the dataset in kJ/mol of formula units: 34
Energy of formation from the pure elements in eV per atom: -0.791
Symmetry: No. 216
Size of the total moment in μB/f.u.: 0.00

POSCAR file:
```
PrPtAu
1.0
-3.5428 3.0855 0.8354
-2.8015 -0.5617 3.8218
0.3078 3.0541 3.6535
Pr Pt Au
1 1 1
Direct
0.5000 0.5000 0.5000 Pr
0.2500 0.2500 0.2500 Pt
0.0000 0.0000 0.0000 Au
```



[3]
First-principles (PBE) data for Nd8Ag3Pt2 after structural relaxation, as listed in the Alexandria database.

Output
Energy of formation from the pure elements in eV per atom: -0.376
Symmetry: No. 12
Size of the total moment in μB/f.u.: 0.00

POSCAR file:
```
Nd8Ag3Pt2
1.0
6.4374 0.0000 0.5615
0.0000 7.6888 0.0000
-2.0151 -3.8444 7.7286
Pt Ag Nd
2 3 8
Direct
0.3242 0.2667 0.5335 Pt
0.6758 0.7333 0.4665 Pt
0.0000 0.1736 0.0000 Ag
0.5000 0.0000 0.0000 Ag
0.0000 0.8264 0.0000 Ag
0.6312 0.1154 0.7230 Nd
0.8196 0.5749 0.1498 Nd
0.8765 0.1863 0.3725 Nd
0.6312 0.6077 0.7230 Nd
0.1804 0.4251 0.8502 Nd
0.3688 0.8846 0.2770 Nd
0.3688 0.3923 0.2770 Nd
0.1235 0.8137 0.6275 Nd
```



[4]
First-principles (PBE) data for BaCdPb3 after structural relaxation, as listed in the Alexandria database.

Output
Excess energy over the best structure of this formula in the dataset in kJ/mol of formula units: 3
Energy of formation from the pure elements in eV per atom: -0.248
Symmetry: No. 7
Size of the total moment in μB/f.u.: 0.00

POSCAR file:
```
BaCdPb3
1.0
7.1418 0.0001 -0.0072
0.0005 7.0284 -0.0012
-0.0069 0.0009 6.9683
Cd Pb Ba
2 6 2
Direct
0.1321 0.7899 0.7014 Cd
0.6320 0.5629 0.2014 Cd
0.4762 0.9021 0.9521 Pb
0.4750 0.9021 0.4494 Pb
0.9750 0.4507 0.9494 Pb
0.8372 0.0818 0.7002 Pb
0.9761 0.4507 0.4521 Pb
0.3371 0.2710 0.2002 Pb
0.9579 0.9487 0.2008 Ba
0.4578 0.4041 0.7007 Ba
```



[5]
First-principles (PBE) data for HfSBr3 after structural relaxation, as listed in the Alexandria database.

Output
Excess energy over the best structure of this formula in the dataset in kJ/mol of formula units: 454
Symmetry: No. 221
Size of the total moment in μB/f.u.: 1.41
Uncorrected formation energy in meV per atom: -297

POSCAR file:
```
HfSBr3
1.0
5.2466 0.0000 0.0000
0.0000 5.2466 0.0000
0.0000 0.0000 5.2466
Hf Br S
1 3 1
Direct
0.0000 0.0000 0.0000 Hf
0.0000 0.5000 0.0000 Br
0.5000 0.0000 0.0000 Br
0.0000 0.0000 0.5000 Br
0.5000 0.5000 0.5000 S
```



[6]
First-principles (PBE) data for BaReSe2 after structural relaxation, as listed in the Alexandria database.

Output
Excess energy over the best structure of this formula in the dataset in kJ/mol of formula units: 42
Symmetry: No. 71
Size of the total moment in μB/f.u.: 1.16
Uncorrected formation energy in meV per atom: -394

POSCAR file:
```
BaReSe2
1.0
-0.1694 4.2288 3.8747
-5.4852 1.6144 -0.4813
3.1976 -4.4840 1.6106
Se Ba Re
2 1 1
Direct
0.0680 0.0680 0.0000 Se
0.4320 0.4320 0.0000 Se
0.7500 0.2500 0.5000 Ba
0.2500 0.7500 0.5000 Re
```



[7]
First-principles (PBE) data for Ba3BiPt8 after structural relaxation, as listed in the Alexandria database.

Output
Energy of formation from the pure elements in eV per atom: -0.575
Symmetry: No. 160
Size of the total moment in μB/f.u.: 0.00

POSCAR file:
```
Ba3BiPt8
1.0
-5.4696 -0.6957 -1.4764
-1.4177 -3.8519 -3.9665
-3.2436 -7.8629 4.6882
Pt Bi Ba
8 1 3
Direct
0.4387 0.4387 0.1876 Pt
0.9409 0.9409 0.6789 Pt
0.6890 0.6890 0.9331 Pt
0.4387 0.9349 0.1876 Pt
0.9409 0.4393 0.6789 Pt
0.9349 0.4387 0.1876 Pt
0.4393 0.9409 0.6789 Pt
0.1906 0.1906 0.4282 Pt
0.8638 0.8638 0.4087 Bi
0.3756 0.3756 0.8733 Ba
0.9950 0.9950 0.0149 Ba
0.5026 0.5026 0.4923 Ba
```



What is the size of the total moment in the second record? 0.00 μB/f.u.



What did the sixth record say?
First-principles (PBE) data for BaReSe2 after structural relaxation, as listed in the Alexandria database.

Output
Excess energy over the best structure of this formula in the dataset in kJ/mol of formula units: 42
Symmetry: No. 71
Size of the total moment in μB/f.u.: 1.16
Uncorrected formation energy in meV per atom: -394

POSCAR file:
```
BaReSe2
1.0
-0.1694 4.2288 3.8747
-5.4852 1.6144 -0.4813
3.1976 -4.4840 1.6106
Se Ba Re
2 1 1
Direct
0.0680 0.0680 0.0000 Se
0.4320 0.4320 0.0000 Se
0.7500 0.2500 0.5000 Ba
0.2500 0.7500 0.5000 Re
```